[1]
Compound: LiCa4Ga
Source: Alexandria via LeMat-Bulk
Functional: PBE-GGA
Structure: optimized geometry

CIF file:
```
data_LiCa4Ga
_cell_length_a 7.504
_cell_length_b 7.504
_cell_length_c 7.655
_cell_angle_alpha 90.00
_cell_angle_beta 90.07
_cell_angle_gamma 90.00
_symmetry_space_group_name_H-M 'C 1 2/m 1'
_symmetry_Int_Tables_number 12
loop_
_symmetry_equiv_pos_as_xyz
'x,y,z'
'-x,-y,-z'
'-x,y,-z'
'x,-y,z'
'x+1/2,y+1/2,z'
'-x+1/2,-y+1/2,-z'
'-x+1/2,y+1/2,-z'
'x+1/2,-y+1/2,z'
loop_
_atom_site_label
_atom_site_type_symbol
_atom_site_fract_x
_atom_site_fract_y
_atom_site_fract_z
_atom_site_occupancy
Li1 Li 0.000 0.000 0.000 1
Ca1 Ca 0.250 0.250 0.272 1
Ga1 Ga 0.000 0.500 0.500 1
```

Final energy (eV/atom): -2.170
D(E_F) (states/eV per cell): 12.3
E above lowest polymorph (eV per atom): 0.148
ΔH_f (0 K) (eV/atom): -0.01
Density (Mg/m³): 1.826



[2]
Compound: Li15Ca2Ga2
Source: Alexandria via LeMat-Bulk
Functional: PBE-GGA
Structure: optimized geometry

CIF file:
```
data_Li15Ca2Ga2
_cell_length_a 9.8596
_cell_length_b 9.8596
_cell_length_c 13.8782
_cell_angle_alpha 90.00
_cell_angle_beta 90.00
_cell_angle_gamma 120.00
_symmetry_space_group_name_H-M 'R -3 m'
_symmetry_Int_Tables_number 166
_symmetry_space_group_name_Hall '-R 3 2"'
loop_
_atom_site_label
_atom_site_type_symbol
_atom_site_fract_x
_atom_site_fract_y
_atom_site_fract_z
_atom_site_occupancy
Li1 Li 0.0000 0.2644 0.0000 1
Li2 Li 0.0000 0.5000 0.5000 1
Li3 Li 0.0147 0.5074 0.8600 1
Ca1 Ca 0.0000 0.0000 0.3411 1
Ga1 Ga 0.0000 0.0000 0.1045 1
```

Final energy (eV/atom): -2.097
D(E_F) (states/eV per cell): 30.6
ΔH_f (0 K) (eV/atom): -0.06
Density (Mg/m³): 1.380



[3]
Compound: Li7Ca2Ga
Source: Alexandria via LeMat-Bulk
Functional: PBE-GGA
Structure: optimized geometry

CIF file:
```
data_Li7Ca2Ga
_cell_length_a 10.004
_cell_length_b 10.004
_cell_length_c 10.004
_cell_angle_alpha 90.00
_cell_angle_beta 90.00
_cell_angle_gamma 90.00
_symmetry_space_group_name_H-M 'F m -3 m'
_symmetry_Int_Tables_number 225
_symmetry_space_group_name_Hall '-F 4 2 3'
loop_
_atom_site_label
_atom_site_type_symbol
_atom_site_fract_x
_atom_site_fract_y
_atom_site_fract_z
_atom_site_occupancy
Li1 Li 0.000 0.000 0.000 1
Li2 Li 0.000 0.000 0.252 1
Ca1 Ca 0.250 0.250 0.250 1
Ga1 Ga 0.000 0.000 0.500 1
```

Final energy (eV/atom): -1.974
D(E_F) (states/eV per cell): 35.3
ΔH_f (0 K) (eV/atom): 0.07
Density (Mg/m³): 1.317



[4]
Compound: Li2CaGa2
Source: Alexandria via LeMat-Bulk
Functional: PBE-GGA
Structure: optimized geometry

CIF file:
```
data_Li2CaGa2
_cell_length_a 4.355
_cell_length_b 4.522
_cell_length_c 21.372
_cell_angle_alpha 90.00
_cell_angle_beta 90.00
_cell_angle_gamma 90.00
_symmetry_space_group_name_H-M 'I m m a'
_symmetry_Int_Tables_number 74
_symmetry_space_group_name_Hall '-I 2b 2'
loop_
_atom_site_label
_atom_site_type_symbol
_atom_site_fract_x
_atom_site_fract_y
_atom_site_fract_z
_atom_site_occupancy
Li1 Li 0.000 0.250 0.038 1
Li2 Li 0.000 0.250 0.540 1
Ca1 Ca 0.000 0.250 0.333 1
Ga1 Ga 0.000 0.250 0.781 1
Ga2 Ga 0.000 0.250 0.897 1
```

Final energy (eV/atom): -2.661
D(E_F) (states/eV per cell): 8.7
E above lowest polymorph (eV per atom): 0.000
ΔH_f (0 K) (eV/atom): -0.28
Density (Mg/m³): 3.052



[5]
Compound: LiCaGa2
Source: Alexandria via LeMat-Bulk
Functional: PBE-GGA
Structure: optimized geometry

CIF file:
```
data_LiCaGa2
_cell_length_a 4.3715
_cell_length_b 4.3715
_cell_length_c 15.7494
_cell_angle_alpha 90.00
_cell_angle_beta 90.00
_cell_angle_gamma 120.00
_symmetry_space_group_name_H-M 'R -3 m'
_symmetry_Int_Tables_number 166
_symmetry_space_group_name_Hall '-R 3 2"'
loop_
_atom_site_label
_atom_site_type_symbol
_atom_site_fract_x
_atom_site_fract_y
_atom_site_fract_z
_atom_site_occupancy
Li1 Li 0.0000 0.0000 0.0000 1
Ca1 Ca 0.0000 0.0000 0.5000 1
Ga1 Ga 0.0000 0.0000 0.2960 1
```

Final energy (eV/atom): -2.877
D(E_F) (states/eV per cell): 6.1
E above lowest polymorph (eV per atom): 0.041
ΔH_f (0 K) (eV/atom): -0.39
Density (Mg/m³): 3.564



[6]
Compound: Li4Ca3Ga4
Source: Alexandria via LeMat-Bulk
Functional: PBE-GGA
Structure: optimized geometry

CIF file:
```
data_Li4Ca3Ga4
_cell_length_a 3.407
_cell_length_b 4.763
_cell_length_c 15.128
_cell_angle_alpha 80.97
_cell_angle_beta 83.54
_cell_angle_gamma 89.96
_symmetry_space_group_name_H-M 'P -1'
_symmetry_Int_Tables_number 2
loop_
_symmetry_equiv_pos_as_xyz
'x,y,z'
'-x,-y,-z'
loop_
_atom_site_label
_atom_site_type_symbol
_atom_site_fract_x
_atom_site_fract_y
_atom_site_fract_z
_atom_site_occupancy
Li1 Li 0.093 0.092 0.316 1
Li2 Li 0.240 0.740 0.019 1
Ca1 Ca 0.358 0.360 0.781 1
Ca2 Ca 0.500 0.000 0.500 1
Ga1 Ga 0.046 0.546 0.408 1
Ga2 Ga 0.185 0.184 0.132 1
```

Final energy (eV/atom): -2.616
D(E_F) (states/eV per cell): 7.8
ΔH_f (0 K) (eV/atom): -0.27
Density (Mg/m³): 2.944



Which formula does entry 3 have?
Li7Ca2Ga



Number 5 is which compound?
LiCaGa2



Please write out number 2 again, unchanged.
Compound: Li15Ca2Ga2
Source: Alexandria via LeMat-Bulk
Functional: PBE-GGA
Structure: optimized geometry

CIF file:
```
data_Li15Ca2Ga2
_cell_length_a 9.8596
_cell_length_b 9.8596
_cell_length_c 13.8782
_cell_angle_alpha 90.00
_cell_angle_beta 90.00
_cell_angle_gamma 120.00
_symmetry_space_group_name_H-M 'R -3 m'
_symmetry_Int_Tables_number 166
_symmetry_space_group_name_Hall '-R 3 2"'
loop_
_atom_site_label
_atom_site_type_symbol
_atom_site_fract_x
_atom_site_fract_y
_atom_site_fract_z
_atom_site_occupancy
Li1 Li 0.0000 0.2644 0.0000 1
Li2 Li 0.0000 0.5000 0.5000 1
Li3 Li 0.0147 0.5074 0.8600 1
Ca1 Ca 0.0000 0.0000 0.3411 1
Ga1 Ga 0.0000 0.0000 0.1045 1
```

Final energy (eV/atom): -2.097
D(E_F) (states/eV per cell): 30.6
ΔH_f (0 K) (eV/atom): -0.06
Density (Mg/m³): 1.380



Which of these has the highest ΔH_f (0 K)?
Li7Ca2Ga